P:
VASP calculation (GGA-PBE) on crystalline NbGaFeOs at its relaxed geometry.

The total moment comes out at 3.6 μB per formula unit.

The structure belongs to space group F-43m (No. 216); the cell edges are 6.212, 6.212 and 6.212 Å and the angles 90.00°, 90.00° and 90.00°. Symmetry generates all atoms from Nb at (0.000, 0.000, 0.000), Ga at (0.250, 0.250, 0.250), Fe at (0.000, 0.000, 0.500) and Os at (0.250, 0.250, 0.750).

Q:
VASP calculation (GGA-PBE) on crystalline NbGaFeOs at its relaxed geometry.

The total moment comes out at 0.0 μB per formula unit.

The structure belongs to space group F-43m (No. 216); the cell edges are 6.112, 6.112 and 6.112 Å and the angles 90.00°, 90.00° and 90.00°. Symmetry generates all atoms from Nb at (0.000, 0.000, 0.000), Ga at (0.000, 0.000, 0.500), Fe at (0.250, 0.250, 0.750) and Os at (0.250, 0.250, 0.250).

Need the numbers? Relative energies in kJ/mol of atoms: P 26.6; Q 0.0.

P:
VASP calculation (GGA-PBE) on crystalline NbGaFePd at its relaxed geometry.

The total moment comes out at 1.7 μB per formula unit.

The structure belongs to space group F-43m (No. 216); the cell edges are 6.198, 6.198 and 6.198 Å and the angles 90.00°, 90.00° and 90.00°. Symmetry generates all atoms from Nb at (0.000, 0.000, 0.000), Ga at (0.000, 0.000, 0.500), Fe at (0.250, 0.250, 0.750) and Pd at (0.250, 0.250, 0.250).

Q:
VASP calculation (GGA-PBE) on crystalline NbGaFePd at its relaxed geometry.

The total moment comes out at 2.3 μB per formula unit.

The structure belongs to space group F-43m (No. 216); the cell edges are 6.254, 6.254 and 6.254 Å and the angles 90.00°, 90.00° and 90.00°. Symmetry generates all atoms from Nb at (0.000, 0.000, 0.000), Ga at (0.250, 0.250, 0.250), Fe at (0.000, 0.000, 0.500) and Pd at (0.250, 0.250, 0.750).

Need the numbers? Relative energies in kJ/mol of atoms: P 0.0; Q 12.8.

P:
VASP calculation (GGA-PBE) on crystalline GaFeNiOs at its relaxed geometry.

The total moment comes out at 3.0 μB per formula unit.

The structure belongs to space group F-43m (No. 216); the cell edges are 5.894, 5.894 and 5.894 Å and the angles 90.00°, 90.00° and 90.00°. Symmetry generates all atoms from Ga at (0.000, 0.000, 0.000), Fe at (0.250, 0.250, 0.250), Ni at (0.250, 0.250, 0.750) and Os at (0.000, 0.000, 0.500).

Q:
VASP calculation (GGA-PBE) on crystalline GaFeNiOs at its relaxed geometry.

The total moment comes out at 2.9 μB per formula unit.

The structure belongs to space group F-43m (No. 216); the cell edges are 5.896, 5.896 and 5.896 Å and the angles 90.00°, 90.00° and 90.00°. Symmetry generates all atoms from Ga at (0.000, 0.000, 0.000), Fe at (0.250, 0.250, 0.250), Ni at (0.000, 0.000, 0.500) and Os at (0.250, 0.250, 0.750).

Need the numbers? Relative energies in kJ/mol of atoms: P 0.0; Q 1.5.

P:
VASP calculation (GGA-PBE) on crystalline GaFeReNi at its relaxed geometry.

The total moment comes out at 0.8 μB per formula unit.

The structure belongs to space group F-43m (No. 216); the cell edges are 5.865, 5.865 and 5.865 Å and the angles 90.00°, 90.00° and 90.00°. Symmetry generates all atoms from Ga at (0.000, 0.000, 0.000), Fe at (0.250, 0.250, 0.250), Re at (0.000, 0.000, 0.500) and Ni at (0.250, 0.250, 0.750).

Q:
VASP calculation (GGA-PBE) on crystalline GaFeReNi at its relaxed geometry.

The total moment comes out at 1.1 μB per formula unit.

The structure belongs to space group F-43m (No. 216); the cell edges are 5.892, 5.892 and 5.892 Å and the angles 90.00°, 90.00° and 90.00°. Symmetry generates all atoms from Ga at (0.000, 0.000, 0.000), Fe at (0.250, 0.250, 0.250), Re at (0.250, 0.250, 0.750) and Ni at (0.000, 0.000, 0.500).

Need the numbers? Relative energies in kJ/mol of atoms: P 0.0; Q 8.7.

P:
VASP calculation (GGA-PBE) on crystalline ScGaFeNi at its relaxed geometry.

The total moment comes out at 0.1 μB per formula unit.

The structure belongs to space group F-43m (No. 216); the cell edges are 5.996, 5.996 and 5.996 Å and the angles 90.00°, 90.00° and 90.00°. Symmetry generates all atoms from Sc at (0.000, 0.000, 0.000), Ga at (0.000, 0.000, 0.500), Fe at (0.250, 0.250, 0.750) and Ni at (0.250, 0.250, 0.250).

Q:
VASP calculation (GGA-PBE) on crystalline ScGaFeNi at its relaxed geometry.

The total moment comes out at 2.8 μB per formula unit.

The structure belongs to space group F-43m (No. 216); the cell edges are 6.147, 6.147 and 6.147 Å and the angles 90.00°, 90.00° and 90.00°. Symmetry generates all atoms from Sc at (0.000, 0.000, 0.000), Ga at (0.250, 0.250, 0.250), Fe at (0.000, 0.000, 0.500) and Ni at (0.250, 0.250, 0.750).

R:
VASP calculation (GGA-PBE) on crystalline ScGaFeNi at its relaxed geometry.

The total moment comes out at 2.9 μB per formula unit.

The structure belongs to space group F-43m (No. 216); the cell edges are 6.140, 6.140 and 6.140 Å and the angles 90.00°, 90.00° and 90.00°. Symmetry generates all atoms from Sc at (0.000, 0.000, 0.000), Ga at (0.250, 0.250, 0.750), Fe at (0.250, 0.250, 0.250) and Ni at (0.000, 0.000, 0.500).

Need the numbers? Relative energies in kJ/mol of atoms: P 0.0; Q 14.4; R 19.4.

P:
VASP calculation (GGA-PBE) on crystalline TaGaFeNi at its relaxed geometry.

The total moment comes out at 2.2 μB per formula unit.

The structure belongs to space group F-43m (No. 216); the cell edges are 6.044, 6.044 and 6.044 Å and the angles 90.00°, 90.00° and 90.00°. Symmetry generates all atoms from Ta at (0.000, 0.000, 0.000), Ga at (0.250, 0.250, 0.250), Fe at (0.000, 0.000, 0.500) and Ni at (0.250, 0.250, 0.750).

Q:
VASP calculation (GGA-PBE) on crystalline TaGaFeNi at its relaxed geometry.

The total moment comes out at 1.6 μB per formula unit.

The structure belongs to space group F-43m (No. 216); the cell edges are 5.976, 5.976 and 5.976 Å and the angles 90.00°, 90.00° and 90.00°. Symmetry generates all atoms from Ta at (0.000, 0.000, 0.000), Ga at (0.000, 0.000, 0.500), Fe at (0.250, 0.250, 0.750) and Ni at (0.250, 0.250, 0.250).

Need the numbers? Relative energies in kJ/mol of atoms: P 23.9; Q 0.0.

P:
VASP calculation (GGA-PBE) on crystalline ZnGaFeOs at its relaxed geometry.

The total moment comes out at 2.8 μB per formula unit.

The structure belongs to space group F-43m (No. 216); the cell edges are 6.009, 6.009 and 6.009 Å and the angles 90.00°, 90.00° and 90.00°. Symmetry generates all atoms from Zn at (0.000, 0.000, 0.000), Ga at (0.250, 0.250, 0.250), Fe at (0.000, 0.000, 0.500) and Os at (0.250, 0.250, 0.750).

Q:
VASP calculation (GGA-PBE) on crystalline ZnGaFeOs at its relaxed geometry.

The total moment comes out at 2.3 μB per formula unit.

The structure belongs to space group F-43m (No. 216); the cell edges are 5.981, 5.981 and 5.981 Å and the angles 90.00°, 90.00° and 90.00°. Symmetry generates all atoms from Zn at (0.000, 0.000, 0.000), Ga at (0.000, 0.000, 0.500), Fe at (0.250, 0.250, 0.750) and Os at (0.250, 0.250, 0.250).

Need the numbers? Relative energies in kJ/mol of atoms: P 6.1; Q 0.0.

P:
VASP calculation (GGA-PBE) on crystalline ScGaFePd at its relaxed geometry.

The total moment comes out at 2.6 μB per formula unit.

The structure belongs to space group F-43m (No. 216); the cell edges are 6.344, 6.344 and 6.344 Å and the angles 90.00°, 90.00° and 90.00°. Symmetry generates all atoms from Sc at (0.000, 0.000, 0.000), Ga at (0.250, 0.250, 0.250), Fe at (0.000, 0.000, 0.500) and Pd at (0.250, 0.250, 0.750).

Q:
VASP calculation (GGA-PBE) on crystalline ScGaFePd at its relaxed geometry.

The total moment comes out at 0.0 μB per formula unit.

The structure belongs to space group F-43m (No. 216); the cell edges are 6.175, 6.175 and 6.175 Å and the angles 90.00°, 90.00° and 90.00°. Symmetry generates all atoms from Sc at (0.000, 0.000, 0.000), Ga at (0.000, 0.000, 0.500), Fe at (0.250, 0.250, 0.750) and Pd at (0.250, 0.250, 0.250).

Need the numbers? Relative energies in kJ/mol of atoms: P 13.6; Q 0.0.

P:
VASP calculation (GGA-PBE) on crystalline GaFePdW at its relaxed geometry.

The total moment comes out at 1.5 μB per formula unit.

The structure belongs to space group F-43m (No. 216); the cell edges are 6.129, 6.129 and 6.129 Å and the angles 90.00°, 90.00° and 90.00°. Symmetry generates all atoms from Ga at (0.000, 0.000, 0.000), Fe at (0.250, 0.250, 0.250), Pd at (0.250, 0.250, 0.750) and W at (0.000, 0.000, 0.500).

Q:
VASP calculation (GGA-PBE) on crystalline GaFePdW at its relaxed geometry.

The total moment comes out at 1.7 μB per formula unit.

The structure belongs to space group F-43m (No. 216); the cell edges are 6.152, 6.152 and 6.152 Å and the angles 90.00°, 90.00° and 90.00°. Symmetry generates all atoms from Ga at (0.000, 0.000, 0.000), Fe at (0.250, 0.250, 0.250), Pd at (0.000, 0.000, 0.500) and W at (0.250, 0.250, 0.750).

Need the numbers? Relative energies in kJ/mol of atoms: P 0.0; Q 10.6.

P:
VASP calculation (GGA-PBE) on crystalline ZrGaFePd at its relaxed geometry.

The total moment comes out at 1.0 μB per formula unit.

The structure belongs to space group F-43m (No. 216); the cell edges are 6.289, 6.289 and 6.289 Å and the angles 90.00°, 90.00° and 90.00°. Symmetry generates all atoms from Zr at (0.000, 0.000, 0.000), Ga at (0.000, 0.000, 0.500), Fe at (0.250, 0.250, 0.750) and Pd at (0.250, 0.250, 0.250).

Q:
VASP calculation (GGA-PBE) on crystalline ZrGaFePd at its relaxed geometry.

The total moment comes out at 2.8 μB per formula unit.

The structure belongs to space group F-43m (No. 216); the cell edges are 6.409, 6.409 and 6.409 Å and the angles 90.00°, 90.00° and 90.00°. Symmetry generates all atoms from Zr at (0.000, 0.000, 0.000), Ga at (0.250, 0.250, 0.250), Fe at (0.000, 0.000, 0.500) and Pd at (0.250, 0.250, 0.750).

Need the numbers? Relative energies in kJ/mol of atoms: P 0.0; Q 14.8.

P:
VASP calculation (GGA-PBE) on crystalline ScGaFePt at its relaxed geometry.

The total moment comes out at 1.1 μB per formula unit.

The structure belongs to space group F-43m (No. 216); the cell edges are 6.222, 6.222 and 6.222 Å and the angles 90.00°, 90.00° and 90.00°. Symmetry generates all atoms from Sc at (0.000, 0.000, 0.000), Ga at (0.000, 0.000, 0.500), Fe at (0.250, 0.250, 0.750) and Pt at (0.250, 0.250, 0.250).

Q:
VASP calculation (GGA-PBE) on crystalline ScGaFePt at its relaxed geometry.

The total moment comes out at 2.9 μB per formula unit.

The structure belongs to space group F-43m (No. 216); the cell edges are 6.347, 6.347 and 6.347 Å and the angles 90.00°, 90.00° and 90.00°. Symmetry generates all atoms from Sc at (0.000, 0.000, 0.000), Ga at (0.250, 0.250, 0.250), Fe at (0.000, 0.000, 0.500) and Pt at (0.250, 0.250, 0.750).

Need the numbers? Relative energies in kJ/mol of atoms: P 0.0; Q 12.2.

P:
VASP calculation (GGA-PBE) on crystalline GaFePtW at its relaxed geometry.

The total moment comes out at 1.8 μB per formula unit.

The structure belongs to space group F-43m (No. 216); the cell edges are 6.162, 6.162 and 6.162 Å and the angles 90.00°, 90.00° and 90.00°. Symmetry generates all atoms from Ga at (0.000, 0.000, 0.000), Fe at (0.250, 0.250, 0.250), Pt at (0.250, 0.250, 0.750) and W at (0.000, 0.000, 0.500).

Q:
VASP calculation (GGA-PBE) on crystalline GaFePtW at its relaxed geometry.

The total moment comes out at 1.5 μB per formula unit.

The structure belongs to space group F-43m (No. 216); the cell edges are 6.166, 6.166 and 6.166 Å and the angles 90.00°, 90.00° and 90.00°. Symmetry generates all atoms from Ga at (0.000, 0.000, 0.000), Fe at (0.250, 0.250, 0.250), Pt at (0.000, 0.000, 0.500) and W at (0.250, 0.250, 0.750).

Need the numbers? Relative energies in kJ/mol of atoms: P 0.0; Q 5.8.